No. 1
Material: FeAgTe
Method: DFT, meta-GGA SCAN
State: PBEsol geometry

Structure (POSCAR):
```
FeAgTe
1.0
4.473 0.000 0.000
2.237 3.874 0.000
2.237 1.291 3.652
Ag Te Fe
1 1 1
direct
0.250 0.250 0.250
0.500 0.500 0.500
0.000 0.000 0.000
```

Values from the calculation:
Formation energy (no corrections) in eV/atom: 0.530
D(E_F) in states/eV/f.u.: 5.64
Total DFT energy (no corrections) in eV per atom: -28.39

No. 2
Material: FeAg2W
Method: DFT, meta-GGA SCAN
State: PBEsol geometry

Structure (POSCAR):
```
FeAg2W
1.0
-3.323 -1.296 0.694
1.452 -3.160 1.053
1.210 3.718 3.222
Fe Ag W
1 2 1
direct
0.500 0.500 0.000
0.750 0.250 0.500
0.250 0.750 0.500
0.000 0.000 0.000
```

Values from the calculation:
Relative energy among the computed polymorphs in kJ/mol of atoms: 23.8
Formation energy in eV/atom: 0.79
D(E_F) in states/eV/f.u.: 2.42
Total DFT energy (no corrections) in eV per atom: -36.85

No. 3
Material: FeAg2W
Method: DFT, meta-GGA SCAN
State: PBEsol geometry

Structure (POSCAR):
```
FeAg2W
1.0
2.736 0.000 0.000
1.368 2.370 0.000
1.368 0.790 9.333
W Fe Ag
1 1 2
direct
0.000 0.000 0.000
0.500 0.500 0.500
0.246 0.246 0.261
0.754 0.754 0.739
```

Values from the calculation:
Relative energy among the computed polymorphs in kJ/mol of atoms: 0.0
Formation energy in eV/atom: 0.54
D(E_F) in states/eV/f.u.: 3.04
Total DFT energy (no corrections) in eV per atom: -37.10

No. 4
Material: FeAgW2
Method: DFT, meta-GGA SCAN
State: PBEsol geometry

Structure (POSCAR):
```
FeAgW2
1.0
2.631 0.000 0.000
-1.315 4.528 0.000
0.000 -0.619 4.934
W Fe Ag
2 1 1
direct
0.005 0.011 0.008
0.249 0.497 0.749
0.749 0.499 0.252
0.497 0.993 0.491
```

Values from the calculation:
Relative energy among the computed polymorphs in kJ/mol of atoms: 12.6
Formation energy in eV/atom: 0.56
D(E_F) in states/eV/f.u.: 2.92
Total DFT energy (no corrections) in eV per atom: -46.66